KTlS2 at its PBEsol-relaxed geometry, computed with SCAN.

Cell lengths 7.292, 7.292, 8.749 Å; angles 90.00, 90.00, 90.00 degrees
Space group I-42d (No. 122)
Asymmetric unit:
K (0.000, 0.000, 0.000) (multiplicity 4)
Tl (0.000, 0.000, 0.500) (multiplicity 4)
S (0.187, 0.750, 0.625) (multiplicity 8)

Summary:
- magnetic moment (μB/cell) = 0.000
- Fermi-level density of states (states/eV/cell) = 0.00
- DFT total energy (eV per atom) = -25.70
- energy relative to the elements, uncorrected (meV/atom) = -714